Entry from Alexandria via LeMat-Bulk: an optimized crystal structure of Sr3Ac4Ge4 (PBE).

Computed properties:
ΔE_f (eV per atom): -0.420

```
data_Sr3Ac4Ge4
_space_group_name_H-M_alt 'I m m m'
_space_group_IT_number 71
_space_group_name_Hall '-I 2 2'
_cell_length_a 4.3101
_cell_length_b 9.6331
_cell_length_c 18.3700
_cell_angle_alpha 90.00
_cell_angle_beta 90.00
_cell_angle_gamma 90.00
loop_
_atom_site_label
_atom_site_type_symbol
_atom_site_fract_x
_atom_site_fract_y
_atom_site_fract_z
Sr1 Sr 0.0000 0.0000 0.0000
Sr2 Sr 0.0000 0.5000 0.0961
Ac1 Ac 0.0000 0.3119 0.3295
Ge1 Ge 0.0000 0.0000 0.2655
Ge2 Ge 0.0000 0.2311 0.5000
```

---

Entry from Alexandria via LeMat-Bulk: an optimized crystal structure of Ac8Nd6Sm (PBE).

Computed properties:
ΔE_f (eV per atom): 0.227

```
data_Ac8Nd6Sm
_space_group_name_H-M_alt 'R -3'
_space_group_IT_number 148
_space_group_name_Hall '-R 3'
_cell_length_a 10.1719
_cell_length_b 10.1719
_cell_length_c 21.5286
_cell_angle_alpha 90.00
_cell_angle_beta 90.00
_cell_angle_gamma 120.00
loop_
_atom_site_label
_atom_site_type_symbol
_atom_site_fract_x
_atom_site_fract_y
_atom_site_fract_z
Ac1 Ac 0.0000 0.0000 0.2335
Ac2 Ac 0.0132 0.3006 0.6238
Nd1 Nd 0.9996 0.3076 0.1291
Sm1 Sm 0.0000 0.0000 0.5000
```

---

Look up the ΔE_f of the second one.
0.227 eV per atom

---

Number 1 is which compound?
Sr3Ac4Ge4